5
Lattice="4.944 0.000 0.000 0.000 4.944 0.000 0.000 0.000 4.055" Properties=species:S:1:pos:R:3 comment="MoIOF2 | Alexandria | PBE with a Hubbard U | relaxed" relative_energy_mev_per_atom=1043.4 spacegroup=P4/mmm magnetic_moment_mub_per_cell=4.926 pbc="T T T"
Mo 0.000 0.000 0.000
I 2.472 2.472 2.028
O 2.472 2.472 0.000
F 0.000 2.472 2.028
F 2.472 0.000 2.028